i.
Entry from the Alexandria database: an optimized crystal structure of Mn2CdP (GGA-PBE).

Summary:
Crystal system ... orthorhombic
Space group ... Immm (71)
Total magnetization ... 4.6 μB/f.u.

Unit cell a=4.7243 b=4.7243 c=4.7243 alpha=138.25 beta=120.02 gamma=75.73
Each line ends with the local moment (μB).
Sites, in units of the cell vectors:
Cd 0.2500 0.7500 0.5000  -0.05
Mn 0.9486 0.9486 0.0000  2.37
Mn 0.5514 0.5514 0.0000  2.37
P 0.7500 0.2500 0.5000  -0.13

ii.
Entry from the Alexandria database: an optimized crystal structure of Mn2CdP (GGA-PBE).

Summary:
Crystal system ... orthorhombic
Space group ... Pmm2 (25)
Total magnetization ... 3.3 μB/f.u.

Unit cell a=2.9338 b=3.0291 c=6.8175 alpha=90.00 beta=90.00 gamma=90.00
Each line ends with the local moment (μB).
Sites, in units of the cell vectors:
Cd 0.5000 0.6251 0.7541  -0.02
Mn 0.0000 0.1250 0.0454  2.91
Mn 0.5000 0.1250 0.4054  0.37
P 0.0000 0.6250 0.2952  -0.07

Short version: ii is the most stable of them.

i.
Entry from the Alexandria database: an optimized crystal structure of MnCd3P (GGA-PBE).

Summary:
Crystal system ... cubic
Space group ... Pm-3m (221)
Total magnetization ... 4.5 μB/f.u.

Unit cell a=5.1157 b=5.1157 c=5.1157 alpha=90.00 beta=90.00 gamma=90.00
Each line ends with the local moment (μB).
Sites, in units of the cell vectors:
P 0.0000 0.0000 0.0000  0.00
Mn 0.5000 0.5000 0.5000  4.34
Cd 0.0000 0.5000 0.0000  -0.04
Cd 0.0000 0.0000 0.5000  -0.01
Cd 0.5000 0.0000 0.0000  -0.02

ii.
Entry from the Alexandria database: an optimized crystal structure of MnCd3P (GGA-PBE).

Summary:
Crystal system ... cubic
Space group ... Pm-3m (221)
Total magnetization ... 3.8 μB/f.u.

Unit cell a=5.1002 b=5.1002 c=5.1002 alpha=90.00 beta=90.00 gamma=90.00
Each line ends with the local moment (μB).
Sites, in units of the cell vectors:
P 0.5000 0.5000 0.5000  0.07
Mn 0.0000 0.0000 0.0000  3.45
Cd 0.0000 0.5000 0.0000  -0.01
Cd 0.0000 0.0000 0.5000  -0.01
Cd 0.5000 0.0000 0.0000  -0.02

Short version: i is the most stable of them.